Here is VMoF2 after structural relaxation from Alexandria. Energies are from GGA+U.

Lattice parameters (Å, degrees): 3.3203 3.3203 25.4352 90.00 90.00 120.00
Space group R-3m (No. 166, hexagonal axes)
Inequivalent atoms, fractional coordinates:
V: 0.0000 0.0000 0.0000
Mo: 0.0000 0.0000 0.5000
F: 0.0000 0.0000 0.3707

The energy relative to the lowest polymorph listed for this composition comes out at 0 kJ/mol of formula units. The energy comes out at -5.74 eV/atom. Its crystal system is trigonal.